Material: Tb2Y6HoTm
Method: DFT, GGA-PBE
State: optimized geometry

Values from the calculation:
The value obtained for the density of states at the Fermi level is 29.36 states/eV per cell. For the energy, the calculation gives -111.8 eV per cell. Its space group is C2/c (15). Its formation energy from the elements is 0.1174 eV per atom.

a = 8.747 Å, b = 8.747 Å, c = 9.647 Å
α = 94.66°, β = 94.66°, γ = 117.65°
Sites, in units of the cell vectors:
Tb 0.195 0.296 0.045
Tb 0.296 0.195 0.545
Tb 0.704 0.805 0.455
Tb 0.805 0.704 0.955
Y 0.018 0.573 0.185
Y 0.123 0.752 0.556
Y 0.248 0.877 0.944
Y 0.292 0.502 0.381
Y 0.427 0.982 0.315
Y 0.498 0.708 0.119
Y 0.502 0.292 0.881
Y 0.573 0.018 0.685
Y 0.708 0.498 0.619
Y 0.752 0.123 0.056
Y 0.877 0.248 0.444
Y 0.982 0.427 0.815
Ho 0.407 0.593 0.750
Ho 0.593 0.407 0.250
Tm 0.022 0.978 0.250
Tm 0.978 0.022 0.750

---

Material: LiZn2BAu
Method: DFT, GGA-PBE
State: optimized geometry

Values from the calculation:
The value obtained for the density of states at the Fermi level is 2.15 states/eV per cell. For the energy, the calculation gives -12.0 eV per cell. Its space group is P4/mmm (123). Its formation energy from the elements is 0.4908 eV per atom.

a = 4.937 Å, b = 4.937 Å, c = 4.134 Å
α = 90.00°, β = 90.00°, γ = 90.00°
Sites, in units of the cell vectors:
Li 0.000 0.000 0.000
Zn 0.000 0.500 0.500
Zn 0.500 0.000 0.500
B 0.500 0.500 0.000
Au 0.500 0.500 0.500

---

Material: NdNbS
Method: DFT, GGA-PBE
State: optimized geometry

Values from the calculation:
The value obtained for the density of states at the Fermi level is 6.62 states/eV per cell. For the energy, the calculation gives -42.0 eV per cell. For the uncorrected formation energy, the calculation gives -0.67 eV/atom. Its space group is P4/nmm (129).

a = 3.806 Å, b = 3.806 Å, c = 10.304 Å
α = 90.00°, β = 90.00°, γ = 90.00°
Sites, in units of the cell vectors:
Nd 0.250 0.250 0.187
Nd 0.750 0.750 0.813
Nb 0.250 0.750 0.500
Nb 0.750 0.250 0.500
S 0.250 0.250 0.891
S 0.750 0.750 0.109

---

Material: Hf3BrF
Method: DFT, GGA-PBE
State: optimized geometry

Values from the calculation:
The value obtained for the density of states at the Fermi level is 7.06 states/eV per cell. For the energy, the calculation gives -33.4 eV per cell. For the uncorrected formation energy, the calculation gives 0.01 eV/atom. Its space group is Pm-3m (221).

a = 4.599 Å, b = 4.599 Å, c = 4.599 Å
α = 90.00°, β = 90.00°, γ = 90.00°
Sites, in units of the cell vectors:
Hf 0.000 0.000 0.500
Hf 0.000 0.500 0.000
Hf 0.500 0.000 0.000
Br 0.500 0.500 0.500
F 0.000 0.000 0.000

---

Material: PmHgGe4
Method: DFT, GGA-PBE
State: optimized geometry

Values from the calculation:
The value obtained for the density of states at the Fermi level is 1.61 states/eV per cell. For the energy, the calculation gives -24.7 eV per cell. Its space group is F-43m (216). Its formation energy from the elements is -0.1924 eV per atom.

a = 5.668 Å, b = 5.668 Å, c = 5.668 Å
α = 60.00°, β = 60.00°, γ = 60.00°
Sites, in units of the cell vectors:
Pm 0.000 0.000 0.000
Hg 0.750 0.750 0.750
Ge 0.374 0.374 0.374
Ge 0.374 0.374 0.877
Ge 0.374 0.877 0.374
Ge 0.877 0.374 0.374

---

Material: Zr2BeHg
Method: DFT, GGA-PBE
State: optimized geometry

Values from the calculation:
The value obtained for the density of states at the Fermi level is 15.19 states/eV per cell. For the energy, the calculation gives -79.6 eV per cell. Its space group is I-42d (122). Its formation energy from the elements is 0.3059 eV per atom.

a = 7.613 Å, b = 7.613 Å, c = 5.508 Å
α = 90.00°, β = 90.00°, γ = 90.00°
Sites, in units of the cell vectors:
Zr 0.221 0.250 0.125
Zr 0.250 0.721 0.375
Zr 0.250 0.779 0.875
Zr 0.279 0.250 0.625
Zr 0.721 0.750 0.625
Zr 0.750 0.221 0.875
Zr 0.750 0.279 0.375
Zr 0.779 0.750 0.125
Be 0.000 0.000 0.000
Be 0.000 0.500 0.250
Be 0.500 0.000 0.750
Be 0.500 0.500 0.500
Hg 0.000 0.000 0.500
Hg 0.000 0.500 0.750
Hg 0.500 0.000 0.250
Hg 0.500 0.500 0.000

---

> Look up the energy of the fifth one.

-24.7 eV per cell

---

> Look up the energy of the sixth one.

-79.6 eV per cell